1.
# Y3P5Ir6

A relaxed structure of Y3P5Ir6 (PBE, Alexandria via LeMat-Bulk).

Results
E_form = -962 meV per atom
Magnetic moment = 0.0 μB per cell
Space-group type = No. 59
Total energy = -226.2 eV for the cell shown

Unit cell a=3.844 b=9.884 c=12.209 alpha=90.00 beta=90.00 gamma=90.00
Element x y z (fractional)
Ir (0.500, 0.520, 0.000)
Y (0.500, 0.761, 0.848)
P (0.000, 0.535, 0.119)
P (0.000, 0.880, 0.000)
Ir (0.000, 0.025, 0.832)
Ir (0.000, 0.607, 0.699)
Ir (0.000, 0.025, 0.168)
Ir (0.500, 0.021, 0.000)
P (0.000, 0.535, 0.881)
P (0.000, 0.839, 0.329)
Y (0.000, 0.270, 0.000)
Y (0.000, 0.239, 0.348)
Y (0.500, 0.761, 0.152)
Ir (0.000, 0.979, 0.500)
Ir (0.500, 0.393, 0.199)
Ir (0.000, 0.607, 0.301)
P (0.500, 0.120, 0.500)
P (0.500, 0.161, 0.829)
P (0.500, 0.465, 0.619)
Ir (0.500, 0.975, 0.332)
P (0.000, 0.839, 0.671)
P (0.500, 0.465, 0.381)
Y (0.500, 0.730, 0.500)
P (0.500, 0.161, 0.171)
Ir (0.000, 0.480, 0.500)
Ir (0.500, 0.975, 0.668)
Ir (0.500, 0.393, 0.801)
Y (0.000, 0.239, 0.652)

---

2.
# K3Np3PbSe8

A relaxed structure of K3Np3PbSe8 (PBE, Alexandria via LeMat-Bulk).

Results
Magnetic moment = 10.0 μB per cell
Space-group type = No. 166
Formation energy from raw total energies = -1.139 eV per atom
Total energy = -90.8 eV for the cell shown

Unit cell a=8.527 b=8.527 c=9.080 alpha=118.00 beta=90.00 gamma=120.00
Element x y z (fractional)
Se (0.247, 0.493, 0.705)
K (0.500, 0.500, 0.000)
Se (0.247, 0.958, 0.705)
K (0.000, 0.500, 0.000)
Se (0.753, 0.507, 0.295)
Se (0.289, 0.042, 0.295)
Se (0.265, 0.530, 0.296)
K (0.000, 0.000, 0.000)
Se (0.753, 0.042, 0.295)
Se (0.735, 0.470, 0.704)
Pb (0.000, 0.000, 0.500)
Np (0.500, 0.500, 0.500)
Se (0.711, 0.958, 0.705)
Np (0.500, 0.000, 0.500)
Np (0.000, 0.500, 0.500)

---

3.
# Er2In5Ni3

A relaxed structure of Er2In5Ni3 (PBE, Alexandria via LeMat-Bulk).

Results
E_form = -359 meV per atom
Magnetic moment = 0.0 μB per cell
Space-group type = No. 36
Total energy = -87.5 eV for the cell shown

Unit cell a=4.327 b=7.114 c=13.199 alpha=90.00 beta=99.44 gamma=90.00
Element x y z (fractional)
In (0.404, 0.404, 0.809)
Er (0.476, 0.782, 0.951)
In (0.707, 0.403, 0.413)
Er (0.174, 0.699, 0.348)
In (0.596, 0.904, 0.191)
Er (0.524, 0.282, 0.049)
In (0.709, 0.992, 0.419)
Er (0.826, 0.199, 0.652)
In (0.053, 0.612, 0.105)
Ni (0.611, 0.525, 0.221)
Ni (0.044, 0.003, 0.087)
Ni (0.389, 0.025, 0.779)
In (0.125, 0.249, 0.250)
Ni (0.229, 0.195, 0.458)
In (0.293, 0.903, 0.587)
In (0.947, 0.112, 0.895)
Ni (0.771, 0.695, 0.542)
Ni (0.956, 0.503, 0.913)
In (0.875, 0.749, 0.750)
In (0.291, 0.492, 0.581)

---

4.
# KInRh

A relaxed structure of KInRh (PBE, Alexandria via LeMat-Bulk).

Results
E_form = -99 meV per atom
Magnetic moment = 0.0 μB per cell
Space-group type = No. 129
Total energy = -23.0 eV for the cell shown

Unit cell a=4.805 b=4.805 c=7.554 alpha=90.00 beta=90.00 gamma=90.00
Element x y z (fractional)
K (0.000, 0.500, 0.831)
In (0.500, 0.000, 0.649)
Rh (0.500, 0.500, 0.500)
Rh (0.000, 0.000, 0.500)
K (0.500, 0.000, 0.169)
In (0.000, 0.500, 0.351)

---

5.
# BaSr2

A relaxed structure of BaSr2 (PBE, Alexandria via LeMat-Bulk).

Results
E_form = 334 meV per atom
Magnetic moment = 0.0 μB per cell
Space-group type = No. 123
Total energy = -4.3 eV for the cell shown

Unit cell a=6.909 b=6.909 c=4.492 alpha=90.00 beta=90.00 gamma=90.00
Element x y z (fractional)
Ba (0.000, 0.000, 0.000)
Sr (0.500, 0.000, 0.500)
Sr (0.000, 0.500, 0.500)

---

6.
# Na2AuSCl

A relaxed structure of Na2AuSCl (PBE, Alexandria via LeMat-Bulk).

Results
Magnetic moment = 0.0 μB per cell
Space-group type = No. 123
Formation energy from raw total energies = -0.206 eV per atom
Total energy = -12.9 eV for the cell shown

Unit cell a=5.377 b=4.656 c=5.377 alpha=90.00 beta=90.00 gamma=90.00
Element x y z (fractional)
Na (0.500, 0.000, 0.000)
Au (0.500, 0.500, 0.500)
Cl (0.000, 0.000, 0.000)
S (0.000, 0.500, 0.000)
Na (0.000, 0.000, 0.500)

---

7.
# Li2InAs2

A relaxed structure of Li2InAs2 (PBE, Alexandria via LeMat-Bulk).

Results
E_form = -355 meV per atom
Magnetic moment = 0.0 μB per cell
Space-group type = No. 127
Total energy = -35.3 eV for the cell shown

Unit cell a=8.125 b=8.125 c=2.840 alpha=90.00 beta=90.00 gamma=90.00
Element x y z (fractional)
As (0.831, 0.669, 0.000)
Li (0.374, 0.126, 0.500)
Li (0.874, 0.374, 0.500)
In (0.500, 0.500, 0.000)
As (0.331, 0.831, 0.000)
Li (0.626, 0.874, 0.500)
As (0.169, 0.331, 0.000)
Li (0.126, 0.626, 0.500)
As (0.669, 0.169, 0.000)
In (0.000, 0.000, 0.000)

---

8.
# PmErCoNi

A relaxed structure of PmErCoNi (PBE, Alexandria via LeMat-Bulk).

Results
E_form = -200 meV per atom
Magnetic moment = 0.2 μB per cell
Space-group type = No. 216
Total energy = -23.0 eV for the cell shown

Unit cell a=4.789 b=4.789 c=4.789 alpha=60.00 beta=60.00 gamma=60.00
Element x y z (fractional)
Er (0.250, 0.250, 0.250)
Co (0.500, 0.500, 0.500)
Pm (0.750, 0.750, 0.750)
Ni (0.000, 0.000, 0.000)

---

9.
# KInGe

A relaxed structure of KInGe (PBE, Alexandria via LeMat-Bulk).

Results
E_form = -106 meV per atom
Magnetic moment = 0.0 μB per cell
Space-group type = No. 194
Total energy = -17.5 eV for the cell shown

Unit cell a=4.602 b=4.602 c=11.037 alpha=90.00 beta=90.00 gamma=120.00
Element x y z (fractional)
K (0.000, 0.000, 0.000)
Ge (0.333, 0.667, 0.750)
Ge (0.667, 0.333, 0.250)
K (0.000, 0.000, 0.500)
In (0.667, 0.333, 0.750)
In (0.333, 0.667, 0.250)

---

10.
# La2MgH

A relaxed structure of La2MgH (PBE, Alexandria via LeMat-Bulk).

Results
Magnetic moment = 0.0 μB per cell
Space-group type = No. 225
Total energy = -13.7 eV for the cell shown

Unit cell a=5.335 b=5.335 c=5.335 alpha=60.00 beta=60.00 gamma=60.00
Element x y z (fractional)
Mg (0.500, 0.500, 0.500)
La (0.250, 0.250, 0.250)
H (0.000, 0.000, 0.000)
La (0.750, 0.750, 0.750)

---

11.
# Tc2SeI

A relaxed structure of Tc2SeI (PBE, Alexandria via LeMat-Bulk).

Results
Magnetic moment = 0.0 μB per cell
Space-group type = No. 225
Formation energy from raw total energies = 0.687 eV per atom
Total energy = -23.0 eV for the cell shown

Unit cell a=4.584 b=4.584 c=4.584 alpha=60.00 beta=60.00 gamma=60.00
Element x y z (fractional)
Se (0.000, 0.000, 0.000)
Tc (0.250, 0.250, 0.250)
Tc (0.750, 0.750, 0.750)
I (0.500, 0.500, 0.500)

---

12.
# AlCrCo2

A relaxed structure of AlCrCo2 (PBE, Alexandria via LeMat-Bulk).

Results
E_form = -112 meV per atom
Magnetic moment = 1.7 μB per cell
Space-group type = No. 119
Total energy = -28.0 eV for the cell shown

Unit cell a=4.542 b=4.542 c=4.542 alpha=134.56 beta=134.56 gamma=66.21
Element x y z (fractional)
Co (0.250, 0.750, 0.500)
Cr (0.500, 0.500, 0.000)
Co (0.000, 0.000, 0.000)
Al (0.750, 0.250, 0.500)

---

Which of these has the highest total energy? BaSr2

---

What is the formula in the first record? Y3P5Ir6

---

Look up the total energy of the ninth one. -17.5 eV for the cell shown